Computed, not measured: crystalline B2IrRh at its relaxed geometry at the GGA-PBEsol level of DFT.

- Calculated formation energy: 0.084 eV per atom
- DFT total energy: -31.7 eV/f.u.
- Total moment: 0.00 Bohr magnetons per cell

Geometry as CIF:
```
data_B2IrRh
_cell_length_a 4.641
_cell_length_b 4.641
_cell_length_c 9.338
_cell_angle_alpha 90.00
_cell_angle_beta 90.00
_cell_angle_gamma 90.00
_symmetry_space_group_name_H-M 'I -4 2 d'
_symmetry_Int_Tables_number 122
_symmetry_space_group_name_Hall 'I -4 2bw'
loop_
_atom_site_label
_atom_site_type_symbol
_atom_site_fract_x
_atom_site_fract_y
_atom_site_fract_z
B1 B 0.249 0.250 0.125
Ir1 Ir 0.000 0.000 0.000
Rh1 Rh 0.000 0.000 0.500
```



Computed, not measured: crystalline InTe at its relaxed geometry at the GGA-PBEsol level of DFT.

- Uncorrected formation energy: -0.231 eV/atom
- DFT total energy: -7.0 eV/f.u.
- Total moment: 0.00 Bohr magnetons per cell

Geometry as CIF:
```
data_InTe
_cell_length_a 4.230
_cell_length_b 13.204
_cell_length_c 4.304
_cell_angle_alpha 90.00
_cell_angle_beta 90.00
_cell_angle_gamma 90.00
_symmetry_space_group_name_H-M 'C m c m'
_symmetry_Int_Tables_number 63
_symmetry_space_group_name_Hall '-C 2c 2'
loop_
_atom_site_label
_atom_site_type_symbol
_atom_site_fract_x
_atom_site_fract_y
_atom_site_fract_z
In1 In 0.000 0.151 0.250
Te1 Te 0.000 0.378 0.250
```



Computed, not measured: crystalline BaY3Cl11 at its relaxed geometry at the GGA-PBEsol level of DFT.

- Uncorrected formation energy: -2.255 eV/atom
- DFT total energy: -78.5 eV/f.u.
- Total moment: 0.23 Bohr magnetons per cell

Geometry as CIF:
```
data_BaY3Cl11
_cell_length_a 10.157
_cell_length_b 5.256
_cell_length_c 18.836
_cell_angle_alpha 90.00
_cell_angle_beta 90.00
_cell_angle_gamma 90.00
_symmetry_space_group_name_H-M 'P m m a'
_symmetry_Int_Tables_number 51
_symmetry_space_group_name_Hall '-P 2a 2a'
loop_
_atom_site_label
_atom_site_type_symbol
_atom_site_fract_x
_atom_site_fract_y
_atom_site_fract_z
Ba1 Ba 0.250 0.000 0.023
Y1 Y 0.000 0.000 0.500
Y2 Y 0.002 0.000 0.767
Cl1 Cl 0.000 0.500 0.500
Cl2 Cl 0.008 0.500 0.764
Cl3 Cl 0.040 0.000 0.903
Cl4 Cl 0.071 0.000 0.367
Cl5 Cl 0.250 0.000 0.202
Cl6 Cl 0.250 0.000 0.537
Cl7 Cl 0.250 0.000 0.732
Cl8 Cl 0.250 0.500 0.082
```



Computed, not measured: crystalline CsNb2Te2 at its relaxed geometry at the GGA-PBEsol level of DFT.

- Uncorrected formation energy: -0.545 eV/atom
- DFT total energy: -32.4 eV/f.u.
- Total moment: 0.00 Bohr magnetons per cell

Geometry as CIF:
```
data_CsNb2Te2
_cell_length_a 4.058
_cell_length_b 4.058
_cell_length_c 17.307
_cell_angle_alpha 90.00
_cell_angle_beta 90.00
_cell_angle_gamma 90.00
_symmetry_space_group_name_H-M 'I 4/m m m'
_symmetry_Int_Tables_number 139
_symmetry_space_group_name_Hall '-I 4 2'
loop_
_atom_site_label
_atom_site_type_symbol
_atom_site_fract_x
_atom_site_fract_y
_atom_site_fract_z
Cs1 Cs 0.000 0.000 0.000
Nb1 Nb 0.000 0.500 0.250
Te1 Te 0.000 0.000 0.363
```



Computed, not measured: crystalline SiH2Ir at its relaxed geometry at the GGA-PBEsol level of DFT.

- DFT total energy: -21.1 eV/f.u.
- Total moment: 0.00 Bohr magnetons per cell

Geometry as CIF:
```
data_SiH2Ir
_cell_length_a 3.464
_cell_length_b 3.464
_cell_length_c 13.203
_cell_angle_alpha 90.00
_cell_angle_beta 90.00
_cell_angle_gamma 90.00
_symmetry_space_group_name_H-M 'I 41/a m d'
_symmetry_Int_Tables_number 141
loop_
_symmetry_equiv_pos_as_xyz
'x,y,z'
'-x,-y,-z'
'-y+1/4,x+3/4,z+1/4'
'y+1/4,-x+3/4,-z+1/4'
'-x+1/2,-y,z+1/2'
'x+1/2,y,-z+1/2'
'y+1/4,-x+1/4,z+3/4'
'-y+1/4,x+1/4,-z+3/4'
'x,-y,-z'
'-x,y,z'
'-y+1/4,-x+1/4,-z+3/4'
'y+1/4,x+1/4,z+3/4'
'-x+1/2,y,-z+1/2'
'x+1/2,-y,z+1/2'
'y+1/4,x+3/4,-z+1/4'
'-y+1/4,-x+3/4,z+1/4'
'x+1/2,y+1/2,z+1/2'
'-x+1/2,-y+1/2,-z+1/2'
'-y+3/4,x+1/4,z+3/4'
'y+3/4,-x+1/4,-z+3/4'
'-x,-y+1/2,z'
'x,y+1/2,-z'
'y+3/4,-x+3/4,z+1/4'
'-y+3/4,x+3/4,-z+1/4'
'x+1/2,-y+1/2,-z+1/2'
'-x+1/2,y+1/2,z+1/2'
'-y+3/4,-x+3/4,-z+1/4'
'y+3/4,x+3/4,z+1/4'
'-x,y+1/2,-z'
'x,-y+1/2,z'
'y+3/4,x+1/4,-z+3/4'
'-y+3/4,-x+1/4,z+3/4'
loop_
_atom_site_label
_atom_site_type_symbol
_atom_site_fract_x
_atom_site_fract_y
_atom_site_fract_z
Si1 Si 0.000 0.250 0.375
H1 H 0.000 0.000 0.000
Ir1 Ir 0.000 0.250 0.875
```



Computed, not measured: crystalline Ba4Ta10CoO30 at its relaxed geometry at the GGA-PBEsol level of DFT.

- Uncorrected formation energy: -2.870 eV/atom
- DFT total energy: -428.5 eV/f.u.
- Total moment: 6.00 Bohr magnetons per cell

Geometry as CIF:
```
data_Ba4Ta10CoO30
_cell_length_a 7.797
_cell_length_b 10.205
_cell_length_c 15.120
_cell_angle_alpha 90.00
_cell_angle_beta 90.00
_cell_angle_gamma 90.00
_symmetry_space_group_name_H-M 'I m m 2'
_symmetry_Int_Tables_number 44
_symmetry_space_group_name_Hall 'I 2 -2'
loop_
_atom_site_label
_atom_site_type_symbol
_atom_site_fract_x
_atom_site_fract_y
_atom_site_fract_z
Ba1 Ba 0.000 0.000 0.000
Ba2 Ba 0.000 0.000 0.404
Ba3 Ba 0.000 0.500 0.485
Ba4 Ba 0.000 0.500 0.894
Ta1 Ta 0.249 0.000 0.194
Ta2 Ta 0.249 0.184 0.821
Ta3 Ta 0.249 0.316 0.069
Co1 Co 0.000 0.500 0.218
O1 O 0.000 0.000 0.176
O2 O 0.000 0.164 0.566
O3 O 0.000 0.203 0.816
O4 O 0.000 0.301 0.045
O5 O 0.000 0.364 0.324
O6 O 0.000 0.500 0.712
O7 O 0.209 0.367 0.191
O8 O 0.214 0.000 0.862
O9 O 0.222 0.131 0.287
O10 O 0.228 0.253 0.441
O11 O 0.231 0.370 0.598
O12 O 0.235 0.500 0.021
```



Computed, not measured: crystalline Sc2TlZn at its relaxed geometry at the GGA-PBEsol level of DFT.

- Calculated formation energy: -0.358 eV per atom
- DFT total energy: -18.9 eV/f.u.
- Total moment: 0.01 Bohr magnetons per cell

Geometry as CIF:
```
data_Sc2TlZn
_cell_length_a 6.858
_cell_length_b 6.858
_cell_length_c 6.858
_cell_angle_alpha 90.00
_cell_angle_beta 90.00
_cell_angle_gamma 90.00
_symmetry_space_group_name_H-M 'F m -3 m'
_symmetry_Int_Tables_number 225
_symmetry_space_group_name_Hall '-F 4 2 3'
loop_
_atom_site_label
_atom_site_type_symbol
_atom_site_fract_x
_atom_site_fract_y
_atom_site_fract_z
Sc1 Sc 0.250 0.250 0.250
Tl1 Tl 0.000 0.000 0.000
Zn1 Zn 0.000 0.000 0.500
```



Computed, not measured: crystalline BaTaTeI2 at its relaxed geometry at the GGA-PBEsol level of DFT.

- Uncorrected formation energy: 0.959 eV/atom
- DFT total energy: -17.0 eV/f.u.
- Total moment: 2.99 Bohr magnetons per cell

Geometry as CIF:
```
data_BaTaTeI2
_cell_length_a 6.329
_cell_length_b 6.329
_cell_length_c 6.567
_cell_angle_alpha 90.00
_cell_angle_beta 90.00
_cell_angle_gamma 90.00
_symmetry_space_group_name_H-M 'P 4/m m m'
_symmetry_Int_Tables_number 123
_symmetry_space_group_name_Hall '-P 4 2'
loop_
_atom_site_label
_atom_site_type_symbol
_atom_site_fract_x
_atom_site_fract_y
_atom_site_fract_z
Ba1 Ba 0.000 0.000 0.000
Ta1 Ta 0.500 0.500 0.500
Te1 Te 0.000 0.000 0.500
I1 I 0.000 0.500 0.000
```



Computed, not measured: crystalline Zr2TaZnAs at its relaxed geometry at the GGA-PBEsol level of DFT.

- Calculated formation energy: 0.811 eV per atom
- DFT total energy: -33.4 eV/f.u.
- Total moment: 0.00 Bohr magnetons per cell

Geometry as CIF:
```
data_Zr2TaZnAs
_cell_length_a 5.072
_cell_length_b 5.072
_cell_length_c 4.822
_cell_angle_alpha 90.00
_cell_angle_beta 90.00
_cell_angle_gamma 90.00
_symmetry_space_group_name_H-M 'P 4/m m m'
_symmetry_Int_Tables_number 123
_symmetry_space_group_name_Hall '-P 4 2'
loop_
_atom_site_label
_atom_site_type_symbol
_atom_site_fract_x
_atom_site_fract_y
_atom_site_fract_z
Zr1 Zr 0.000 0.500 0.000
Ta1 Ta 0.000 0.000 0.000
Zn1 Zn 0.500 0.500 0.500
As1 As 0.000 0.000 0.500
```



Computed, not measured: crystalline LaZrP at its relaxed geometry at the GGA-PBEsol level of DFT.

- Calculated formation energy: -0.611 eV per atom
- DFT total energy: -22.1 eV/f.u.
- Total moment: 0.00 Bohr magnetons per cell

Geometry as CIF:
```
data_LaZrP
_cell_length_a 4.4330
_cell_length_b 4.4330
_cell_length_c 4.1410
_cell_angle_alpha 90.00
_cell_angle_beta 90.00
_cell_angle_gamma 120.00
_symmetry_space_group_name_H-M 'P -6 m 2'
_symmetry_Int_Tables_number 187
_symmetry_space_group_name_Hall 'P -6 2'
loop_
_atom_site_label
_atom_site_type_symbol
_atom_site_fract_x
_atom_site_fract_y
_atom_site_fract_z
La1 La 0.0000 0.0000 0.0000
Zr1 Zr 0.6667 0.3333 0.5000
P1 P 0.3333 0.6667 0.5000
```



Question: Look up the DFT total energy of the first one.
Answer: -31.7 eV/f.u.